Entry 1:
VASP calculation (PBE) on Er2As3Pd5 after structural relaxation.

a = 4.318 Å, b = 24.051 Å, c = 6.910 Å
α = 90.00°, β = 90.00°, γ = 90.00°
Space group Cmc2_1 (No. 36)
One atom of each set of equivalent atoms:
Er 0.000 0.021 0.000 [4 per cell]
Er 0.000 0.326 0.037 [4 per cell]
As 0.000 0.108 0.705 [4 per cell]
As 0.000 0.276 0.602 [4 per cell]
As 0.000 0.453 0.798 [4 per cell]
Pd 0.000 0.107 0.323 [4 per cell]
Pd 0.000 0.199 0.891 [4 per cell]
Pd 0.000 0.225 0.293 [4 per cell]
Pd 0.000 0.378 0.532 [4 per cell]
Pd 0.000 0.446 0.189 [4 per cell]

=====

Entry 2:
VASP calculation (PBE) on ErAsPd after structural relaxation.

a = 3.348 Å, b = 14.601 Å, c = 5.170 Å
α = 90.00°, β = 90.00°, γ = 90.00°
Space group Cmcm (No. 63)
One atom of each set of equivalent atoms:
Er 0.000 0.178 0.250 [4 per cell]
As 0.000 0.000 0.000 [4 per cell]
Pd 0.000 0.372 0.250 [4 per cell]

=====

Entry 3:
VASP calculation (PBE) on Er2AsPd after structural relaxation.

a = 4.0400 Å, b = 4.0400 Å, c = 20.3406 Å
α = 90.00°, β = 90.00°, γ = 120.00°
Space group R-3m (No. 166, hexagonal axes)
One atom of each set of equivalent atoms:
Er 0.0000 0.0000 0.2501 [6 per cell]
As 0.0000 0.0000 0.0000 [3 per cell]
Pd 0.0000 0.0000 0.5000 [3 per cell]

=====

Entry 4:
VASP calculation (PBE) on ErAsPd after structural relaxation.

a = 6.991 Å, b = 4.094 Å, c = 11.991 Å
α = 90.00°, β = 90.50°, γ = 90.00°
Space group P2_1/m (No. 11)
One atom of each set of equivalent atoms:
Er 0.034 0.250 0.124 [2 per cell]
Er 0.170 0.250 0.422 [2 per cell]
Er 0.462 0.750 0.793 [2 per cell]
As 0.245 0.750 0.250 [2 per cell]
As 0.245 0.750 0.587 [2 per cell]
As 0.248 0.250 0.918 [2 per cell]
Pd 0.124 0.250 0.708 [2 per cell]
Pd 0.357 0.750 0.043 [2 per cell]
Pd 0.499 0.750 0.409 [2 per cell]

=====

| no. | energy (eV for the cell shown) | formation enthalpy at 0 K (kJ/mol of atoms) |
| --- | --- | --- |
| 1 | -229.20 | -79.7 |
| 2 | -63.57 | -47.8 |
| 3 | -69.36 | -100.2 |
| 4 | -107.77 | -114.4 |